Material: AcMgPbI
Method: DFT, GGA-PBE
State: optimized geometry

a b c (Å): 4.875 4.875 15.635
angles (deg): 81.03 81.03 60.00
Atoms (fractional coordinates):
Ac 0.082 0.082 0.754
Ac 0.918 0.918 0.246
Mg 0.689 0.689 0.934
Mg 0.311 0.311 0.066
Pb 0.624 0.624 0.129
Pb 0.376 0.376 0.871
I 0.792 0.792 0.623
I 0.208 0.208 0.377

Values from the calculation:
SG = R-3m
M_tot = 0.0 μB/f.u.
uncorrected energy = -3.501 eV per atom